#a
The following is a DFT calculation (GGA-PBE) of a geometry-optimized NbTc2Pd structure.

a b c (Å): 3.786 3.786 18.887
angles (deg): 90.00 90.00 90.00
Space group I-42d (No. 122)
Asymmetric unit:
Nb1 0.000 0.000 0.000
Tc1 0.221 0.250 0.625
Pd1 0.000 0.000 0.500

**Density of states at the Fermi level**: 22.2 states/eV/cell
**Density**: 9.700 g cm⁻³

***

#b
The following is a DFT calculation (GGA-PBE) of a geometry-optimized NbTc2Pd structure.

a b c (Å): 6.313 6.313 6.313
angles (deg): 90.00 90.00 90.00
Space group Fm-3m (No. 225)
Asymmetric unit:
Nb1 0.000 0.000 0.000
Tc1 0.250 0.250 0.250
Pd1 0.000 0.000 0.500

**Density of states at the Fermi level**: 29.1 states/eV/cell
**Density**: 10.435 g cm⁻³

***

#c
The following is a DFT calculation (GGA-PBE) of a geometry-optimized NbTc2Pd structure.

a b c (Å): 3.914 3.914 4.030
angles (deg): 90.00 90.00 90.00
Space group P4/mmm (No. 123)
Asymmetric unit:
Nb1 0.000 0.000 0.000
Tc1 0.000 0.500 0.500
Pd1 0.500 0.500 0.000

**Density of states at the Fermi level**: 2.7 states/eV/cell
**Density**: 10.633 g cm⁻³

***

Most stable: #c. Least stable: #a.

***

#a
The following is a DFT calculation (GGA-PBE) of a geometry-optimized Nb2TcPd2 structure.

a b c (Å): 7.288 7.288 3.169
angles (deg): 90.00 90.00 90.00
Space group P4/mbm (No. 127)
Asymmetric unit:
Nb1 0.178 0.322 0.000
Tc1 0.000 0.000 0.500
Pd1 0.126 0.626 0.500

**Density of states at the Fermi level**: 11.3 states/eV/cell
**Density**: 9.800 g cm⁻³

***

#b
The following is a DFT calculation (GGA-PBE) of a geometry-optimized Nb2TcPd2 structure.

a b c (Å): 3.700 3.700 12.968
angles (deg): 90.00 90.00 90.00
Space group I4/mmm (No. 139)
Asymmetric unit:
Nb1 0.000 0.500 0.250
Tc1 0.000 0.000 0.000
Pd1 0.000 0.000 0.405

**Density of states at the Fermi level**: 13.0 states/eV/cell
**Density**: 9.291 g cm⁻³

***

Most stable: #a. Least stable: #b.

***

#a
The following is a DFT calculation (GGA-PBE) of a geometry-optimized Nb3TcPd structure.

a b c (Å): 4.767 4.767 4.767
angles (deg): 90.00 90.00 90.00
Space group Pm-3m (No. 221)
Asymmetric unit:
Nb1 0.000 0.000 0.500
Tc1 0.000 0.000 0.000
Pd1 0.500 0.500 0.500

**Density of states at the Fermi level**: 5.5 states/eV/cell
**Density**: 7.406 g cm⁻³

***

#b
The following is a DFT calculation (GGA-PBE) of a geometry-optimized Nb3TcPd structure.

a b c (Å): 4.782 4.782 4.782
angles (deg): 90.00 90.00 90.00
Space group Pm-3m (No. 221)
Asymmetric unit:
Nb1 0.000 0.000 0.500
Tc1 0.500 0.500 0.500
Pd1 0.000 0.000 0.000

**Density of states at the Fermi level**: 7.0 states/eV/cell
**Density**: 7.336 g cm⁻³

***

Most stable: #a. Least stable: #b.

***

#a
The following is a DFT calculation (GGA-PBE) of a geometry-optimized NbTePd3 structure.

a b c (Å): 4.887 4.887 4.887
angles (deg): 90.00 90.00 90.00
Space group Pm-3m (No. 221)
Asymmetric unit:
Nb1 0.000 0.000 0.000
Te1 0.500 0.500 0.500
Pd1 0.000 0.500 0.500

**Density of states at the Fermi level**: 2.9 states/eV/cell
**Density**: 7.680 g cm⁻³

***

#b
The following is a DFT calculation (GGA-PBE) of a geometry-optimized NbTePd3 structure.

a b c (Å): 4.892 4.892 4.892
angles (deg): 90.00 90.00 90.00
Space group Pm-3m (No. 221)
Asymmetric unit:
Nb1 0.000 0.000 0.000
Te1 0.500 0.500 0.500
Pd1 0.000 0.000 0.500

**Density of states at the Fermi level**: 4.0 states/eV/cell
**Density**: 7.654 g cm⁻³

***

Most stable: #a. Least stable: #b.

***

#a
The following is a DFT calculation (GGA-PBE) of a geometry-optimized NbTe5Pd structure.

a b c (Å): 10.725 9.130 9.184
angles (deg): 90.00 102.89 90.00
Space group C2/c (No. 15)
Asymmetric unit:
Nb1 0.000 0.071 0.250
Te1 0.000 0.366 0.250
Te2 0.080 0.164 0.975
Te3 0.245 0.082 0.438
Pd1 0.000 0.500 0.000

**Density of states at the Fermi level**: 9.3 states/eV/cell
**Density**: 6.344 g cm⁻³

***

#b
The following is a DFT calculation (GGA-PBE) of a geometry-optimized NbTe5Pd structure.

a b c (Å): 15.856 3.760 13.605
angles (deg): 90.00 90.00 90.00
Space group Pnma (No. 62)
Asymmetric unit:
Nb1 0.161 0.250 0.247
Te1 0.004 0.750 0.849
Te2 0.060 0.750 0.357
Te3 0.159 0.750 0.088
Te4 0.176 0.750 0.642
Te5 0.236 0.250 0.853
Pd1 0.089 0.250 0.745

**Density of states at the Fermi level**: 9.1 states/eV/cell
**Density**: 6.857 g cm⁻³

***

Most stable: #b. Least stable: #a.

***

#a
The following is a DFT calculation (GGA-PBE) of a geometry-optimized Nb3TePd structure.

a b c (Å): 4.903 4.903 4.903
angles (deg): 90.00 90.00 90.00
Space group Pm-3m (No. 221)
Asymmetric unit:
Nb1 0.000 0.000 0.500
Te1 0.500 0.500 0.500
Pd1 0.000 0.000 0.000

**Density of states at the Fermi level**: 8.5 states/eV/cell
**Density**: 7.223 g cm⁻³

***

#b
The following is a DFT calculation (GGA-PBE) of a geometry-optimized Nb3TePd structure.

a b c (Å): 4.992 4.992 4.992
angles (deg): 90.00 90.00 90.00
Space group Pm-3m (No. 221)
Asymmetric unit:
Nb1 0.000 0.000 0.500
Te1 0.000 0.000 0.000
Pd1 0.500 0.500 0.500

**Density of states at the Fermi level**: 9.7 states/eV/cell
**Density**: 6.845 g cm⁻³

***

Most stable: #a. Least stable: #b.

***

#a
The following is a DFT calculation (GGA-PBE) of a geometry-optimized Th2NbPd structure.

a b c (Å): 3.2639 3.2639 32.3340
angles (deg): 90.00 90.00 120.00
Space group R-3m (No. 166, hexagonal axes)
Asymmetric unit:
Th1 0.0000 0.0000 0.0908
Nb1 0.0000 0.0000 0.0000
Pd1 0.0000 0.0000 0.5000

**Density of states at the Fermi level**: 13.5 states/eV/cell
**Density**: 11.078 g cm⁻³

***

#b
The following is a DFT calculation (GGA-PBE) of a geometry-optimized Th2NbPd structure.

a b c (Å): 3.683 3.683 7.307
angles (deg): 90.00 90.00 90.00
Space group P4/mmm (No. 123)
Asymmetric unit:
Th1 0.000 0.000 0.247
Nb1 0.500 0.500 0.500
Pd1 0.500 0.500 0.000

**Density of states at the Fermi level**: 5.7 states/eV/cell
**Density**: 11.114 g cm⁻³

***

Most stable: #b. Least stable: #a.

***

#a
The following is a DFT calculation (GGA-PBE) of a geometry-optimized ZrTiNbPd structure.

a b c (Å): 6.570 6.570 6.570
angles (deg): 90.00 90.00 90.00
Space group F-43m (No. 216)
Asymmetric unit:
Zr1 0.000 0.000 0.000
Ti1 0.000 0.000 0.500
Nb1 0.250 0.250 0.250
Pd1 0.250 0.250 0.750

**Density of states at the Fermi level**: 15.9 states/eV/cell
**Density**: 7.925 g cm⁻³

***

#b
The following is a DFT calculation (GGA-PBE) of a geometry-optimized ZrTiNbPd structure.

a b c (Å): 2.834 2.891 18.723
angles (deg): 90.00 90.00 90.00
Space group Amm2 (No. 38)
Asymmetric unit:
Zr1 0.000 0.000 0.000
Ti1 0.500 0.000 0.770
Nb1 0.000 0.000 0.159
Pd1 0.500 0.000 0.389

**Density of states at the Fermi level**: 9.8 states/eV/cell
**Density**: 7.327 g cm⁻³

***

Most stable: #a. Least stable: #b.

***

#a
The following is a DFT calculation (GGA-PBE) of a geometry-optimized NbTl2Pd structure.

a b c (Å): 7.648 7.648 6.005
angles (deg): 90.00 90.00 90.00
Space group I-42d (No. 122)
Asymmetric unit:
Nb1 0.000 0.000 0.000
Tl1 0.232 0.250 0.625
Pd1 0.000 0.000 0.500

**Density of states at the Fermi level**: 17.1 states/eV/cell
**Density**: 11.499 g cm⁻³

***

#b
The following is a DFT calculation (GGA-PBE) of a geometry-optimized NbTl2Pd structure.

a b c (Å): 6.874 6.874 6.874
angles (deg): 90.00 90.00 90.00
Space group Fm-3m (No. 225)
Asymmetric unit:
Nb1 0.000 0.000 0.000
Tl1 0.250 0.250 0.250
Pd1 0.000 0.000 0.500

**Density of states at the Fermi level**: 13.1 states/eV/cell
**Density**: 12.433 g cm⁻³

***

Most stable: #b. Least stable: #a.

***

#a
The following is a DFT calculation (GGA-PBE) of a geometry-optimized NbTl3Pd structure.

a b c (Å): 5.432 5.432 5.432
angles (deg): 90.00 90.00 90.00
Space group Pm-3m (No. 221)
Asymmetric unit:
Nb1 0.000 0.000 0.000
Tl1 0.000 0.000 0.500
Pd1 0.500 0.500 0.500

**Density of states at the Fermi level**: 4.1 states/eV/cell
**Density**: 8.417 g cm⁻³

***

#b
The following is a DFT calculation (GGA-PBE) of a geometry-optimized NbTl3Pd structure.

a b c (Å): 5.181 5.181 5.181
angles (deg): 90.00 90.00 90.00
Space group Pm-3m (No. 221)
Asymmetric unit:
Nb1 0.000 0.000 0.000
Tl1 0.000 0.500 0.500
Pd1 0.500 0.500 0.500

**Density of states at the Fermi level**: 7.7 states/eV/cell
**Density**: 9.703 g cm⁻³

***

Most stable: #a. Least stable: #b.

***

#a
The following is a DFT calculation (GGA-PBE) of a geometry-optimized NbVPd6 structure.

a b c (Å): 7.666 5.297 7.244
angles (deg): 90.00 110.77 90.00
Space group C2/m (No. 12)
Asymmetric unit:
Nb1 0.000 0.000 0.000
V1 0.000 0.500 0.500
Pd1 0.153 0.000 0.442
Pd2 0.186 0.247 0.800

**Density of states at the Fermi level**: 10.2 states/eV/cell
**Density**: 9.448 g cm⁻³

***

#b
The following is a DFT calculation (GGA-PBE) of a geometry-optimized NbVPd6 structure.

a b c (Å): 5.590 5.590 3.938
angles (deg): 90.00 90.00 90.00
Space group P4/mmm (No. 123)
Asymmetric unit:
Nb1 0.000 0.000 0.000
V1 0.500 0.500 0.000
Pd1 0.000 0.500 0.000
Pd2 0.250 0.250 0.500

**Density of states at the Fermi level**: 8.3 states/eV/cell
**Density**: 10.558 g cm⁻³

***

Most stable: #b. Least stable: #a.

***

#a
The following is a DFT calculation (GGA-PBE) of a geometry-optimized NbV2Pd structure.

a b c (Å): 3.719 3.719 18.940
angles (deg): 90.00 90.00 90.00
Space group I-42d (No. 122)
Asymmetric unit:
Nb1 0.000 0.000 0.000
V1 0.240 0.250 0.125
Pd1 0.000 0.000 0.500

**Density of states at the Fermi level**: 23.8 states/eV/cell
**Density**: 7.637 g cm⁻³

***

#b
The following is a DFT calculation (GGA-PBE) of a geometry-optimized NbV2Pd structure.

a b c (Å): 6.222 6.222 6.222
angles (deg): 90.00 90.00 90.00
Space group Fm-3m (No. 225)
Asymmetric unit:
Nb1 0.000 0.000 0.000
V1 0.250 0.250 0.250
Pd1 0.000 0.000 0.500

**Density of states at the Fermi level**: 23.0 states/eV/cell
**Density**: 8.305 g cm⁻³

***

Most stable: #b. Least stable: #a.